1.
An optimized crystal structure of PaCdCuGe, computed with PBE.

a = 4.822 Å, b = 4.822 Å, c = 4.822 Å
α = 60.00°, β = 60.00°, γ = 60.00°
Sites, in units of the cell vectors:
1 Pa 0.000 0.000 0.000
2 Cd 0.500 0.500 0.500
3 Cu 0.250 0.250 0.250
4 Ge 0.750 0.750 0.750

Computed properties:
Energy of formation from the pure elements in eV/f.u.: -0.2

***

2.
An optimized crystal structure of Mn5Co, computed with PBE.

a = 4.513 Å, b = 4.513 Å, c = 4.026 Å
α = 90.00°, β = 90.00°, γ = 120.00°
Sites, in units of the cell vectors:
1 Mn 0.000 0.500 0.000
2 Mn 0.333 0.667 0.500
3 Mn 0.500 0.000 0.000
4 Mn 0.500 0.500 0.000
5 Mn 0.667 0.333 0.500
6 Co 0.000 0.000 0.500

Computed properties:
E above lowest polymorph in meV/atom: 482
Energy of formation from the pure elements in eV/f.u.: 2.8

***

3.
An optimized crystal structure of Li2CeGa4Pd, computed with PBE.

a = 9.148 Å, b = 9.148 Å, c = 9.148 Å
α = 27.32°, β = 27.32°, γ = 27.32°
Sites, in units of the cell vectors:
1 Li 0.230 0.230 0.230
2 Li 0.770 0.770 0.770
3 Ce 0.000 0.000 0.000
4 Ga 0.125 0.125 0.125
5 Ga 0.401 0.401 0.401
6 Ga 0.599 0.599 0.599
7 Ga 0.875 0.875 0.875
8 Pd 0.500 0.500 0.500

Computed properties:
Energy of formation from the pure elements in eV/f.u.: -3.7

***

4.
An optimized crystal structure of CaPuAlGa, computed with PBE.

a = 5.145 Å, b = 5.145 Å, c = 5.145 Å
α = 60.00°, β = 60.00°, γ = 60.00°
Sites, in units of the cell vectors:
1 Ca 0.000 0.000 0.000
2 Pu 0.500 0.500 0.500
3 Al 0.250 0.250 0.250
4 Ga 0.750 0.750 0.750

Computed properties:
Energy of formation from the pure elements in eV/f.u.: -0.8